Material: LiDyLu2
Method: DFT, PBE
State: optimized geometry

Values from the calculation:
Crystal system: trigonal
Excess energy over the best structure of this formula in the dataset, eV/atom: 0.117
Formation energy from the elements, meV per atom: 196

abc: 3.404 3.404 12.105
angles: 81.92 81.92 60.00
Fractional coordinates of all 4 atoms:
Lu  0.088  0.088  0.735
Lu  0.912  0.912  0.265
Li  0.000  0.000  0.000
Dy  0.500  0.500  0.500

=====

Material: LiDyLu2
Method: DFT, PBE
State: optimized geometry

Values from the calculation:
Crystal system: tetragonal
Excess energy over the best structure of this formula in the dataset, eV/atom: 0.106
Formation energy from the elements, meV per atom: 185

abc: 3.764 5.440 5.440
angles: 90.00 90.00 90.00
Fractional coordinates of all 4 atoms:
Li  0.500  0.000  0.000
Lu  0.000  0.000  0.500
Lu  0.000  0.500  0.000
Dy  0.500  0.500  0.500

=====

Material: LiDyLuNi
Method: DFT, PBE
State: optimized geometry

Values from the calculation:
Crystal system: cubic
Formation energy from the elements, meV per atom: -169

abc: 4.865 4.865 4.865
angles: 60.00 60.00 60.00
Fractional coordinates of all 4 atoms:
Lu  0.500  0.500  0.500
Li  0.750  0.750  0.750
Dy  0.000  0.000  0.000
Ni  0.250  0.250  0.250

=====

Material: LiDyLuOs
Method: DFT, PBE
State: optimized geometry

Values from the calculation:
Crystal system: cubic
Formation energy from the elements, meV per atom: -274

abc: 4.845 4.845 4.845
angles: 60.00 60.00 60.00
Fractional coordinates of all 4 atoms:
Li  0.500  0.500  0.500
Dy  0.250  0.250  0.250
Lu  0.750  0.750  0.750
Os  0.000  0.000  0.000

=====

Material: LiDyLuPd
Method: DFT, PBE
State: optimized geometry

Values from the calculation:
Crystal system: cubic
Formation energy from the elements, meV per atom: -440

abc: 4.972 4.972 4.972
angles: 60.00 60.00 60.00
Fractional coordinates of all 4 atoms:
Li  0.500  0.500  0.500
Lu  0.250  0.250  0.250
Dy  0.750  0.750  0.750
Pd  0.000  0.000  0.000

=====

Material: LiPmDyLu
Method: DFT, PBE
State: optimized geometry

Values from the calculation:
Crystal system: cubic
Formation energy from the elements, meV per atom: 153

abc: 5.474 5.474 5.474
angles: 60.00 60.00 60.00
Fractional coordinates of all 4 atoms:
Li  0.250  0.250  0.250
Pm  0.000  0.000  0.000
Lu  0.750  0.750  0.750
Dy  0.500  0.500  0.500

=====

Material: LiPrDyLu
Method: DFT, PBE
State: optimized geometry

Values from the calculation:
Crystal system: cubic
Formation energy from the elements, meV per atom: 150

abc: 5.507 5.507 5.507
angles: 60.00 60.00 60.00
Fractional coordinates of all 4 atoms:
Pr  0.750  0.750  0.750
Lu  0.500  0.500  0.500
Li  0.000  0.000  0.000
Dy  0.250  0.250  0.250

=====

Material: LiDyLuRh
Method: DFT, PBE
State: optimized geometry

Values from the calculation:
Crystal system: cubic
Formation energy from the elements, meV per atom: -522

abc: 4.878 4.878 4.878
angles: 60.00 60.00 60.00
Fractional coordinates of all 4 atoms:
Li  0.000  0.000  0.000
Dy  0.750  0.750  0.750
Rh  0.500  0.500  0.500
Lu  0.250  0.250  0.250